VCd2BiO6 | PBE+U | optimized geometry

Cell lengths 5.6381, 5.6381, 15.1285 Å; angles 90.00, 90.00, 120.00 degrees
Space group R3 (No. 146, hexagonal axes)
Asymmetric unit:
V 0.0000 0.0000 0.0000
Cd 0.0000 0.0000 0.2176
Cd 0.0000 0.0000 0.7214
Bi 0.0000 0.0000 0.4922
O 0.0190 0.7337 0.0978
O 0.0606 0.3729 0.6145

E above lowest polymorph: 102 meV/atom
VASP energy: -5.634 eV per atom